# DyTiZnIr (PBE, optimized geometry)
# DOS at the Fermi energy	13.84	states/eV per cell
# V	291.69	Å³ per cell
# energy of formation from the pure elements	-161	kJ/mol of formula units
data_DyTiZnIr
_cell_length_a 6.6320
_cell_length_b 6.6320
_cell_length_c 6.6320
_cell_angle_alpha 90.00
_cell_angle_beta 90.00
_cell_angle_gamma 90.00
_space_group_name_H-M_alt 'F -4 3 m'
_space_group_IT_number 216
_space_group_name_Hall 'F -4 2 3'
loop_
_atom_site_label
_atom_site_type_symbol
_atom_site_fract_x
_atom_site_fract_y
_atom_site_fract_z
Dy1 Dy 0.0000 0.0000 0.0000
Ti1 Ti 0.0000 0.0000 0.5000
Zn1 Zn 0.2500 0.2500 0.2500
Ir1 Ir 0.2500 0.2500 0.7500